Below is a geometry-optimized NaCrSi3 structure, with properties calculated at the PBE level.

POSCAR file:
```
NaCrSi3
1.0
-1.313 -3.872 1.924
3.678 0.057 2.625
-2.274 2.328 3.135
Na Si Cr
1 3 1
direct
0.500 0.500 0.500 Na
0.000 0.000 0.500 Si
0.500 0.000 0.000 Si
0.000 0.500 0.000 Si
0.000 0.000 0.000 Cr
```

Properties
DOS(E_F) ... 0.764 states/eV per atom
Offset from the most stable computed form ... 0.000 eV per atom
Formation energy (no corrections) ... 0.19 eV/atom
Symmetry ... No. 221
E ... -0.3857 Ry/atom


Below is a geometry-optimized Tl2Sb2Au structure, with properties calculated at the PBE level.

POSCAR file:
```
Tl2Sb2Au
1.0
4.204 0.000 0.000
0.000 4.204 0.000
2.102 2.102 8.332
Tl Sb Au
2 2 1
direct
0.750 0.250 0.500 Tl
0.250 0.750 0.500 Tl
0.418 0.418 0.165 Sb
0.582 0.582 0.835 Sb
0.000 0.000 0.000 Au
```

Properties
DOS(E_F) ... 0.592 states/eV per atom
Offset from the most stable computed form ... 0.348 eV per atom
Formation energy (no corrections) ... 0.32 eV/atom
Symmetry ... No. 139
E ... -0.2151 Ry/atom


Below is a geometry-optimized CrSiBi2Te structure, with properties calculated at the PBE level.

POSCAR file:
```
CrSiBi2Te
1.0
5.518 0.000 0.000
0.000 4.774 0.000
0.000 0.000 5.518
Te Cr Bi Si
1 1 2 1
direct
0.500 0.500 0.500 Te
0.000 0.500 0.000 Cr
0.500 0.000 0.000 Bi
0.000 0.000 0.500 Bi
0.000 0.000 0.000 Si
```

Properties
DOS(E_F) ... 0.590 states/eV per atom
Formation energy (no corrections) ... 0.59 eV/atom
Symmetry ... No. 123
E ... -0.3379 Ry/atom


Below is a geometry-optimized SnMo3Pd structure, with properties calculated at the PBE level.

POSCAR file:
```
SnMo3Pd
1.0
4.860 0.000 0.000
0.000 4.860 0.000
0.000 0.000 4.860
Sn Mo Pd
1 3 1
direct
0.000 0.000 0.000 Sn
0.000 0.000 0.500 Mo
0.000 0.500 0.000 Mo
0.500 0.000 0.000 Mo
0.500 0.500 0.500 Pd
```

Properties
DOS(E_F) ... 1.833 states/eV per atom
Symmetry ... No. 221
E ... -0.4441 Ry/atom


Below is a geometry-optimized OsIN2 structure, with properties calculated at the PBE level.

POSCAR file:
```
OsIN2
1.0
-1.049 -3.673 1.474
-3.939 -1.112 0.114
-1.382 -2.904 -2.534
N I Os
2 1 1
direct
0.250 0.250 0.250 N
0.750 0.750 0.750 N
0.000 0.000 0.000 I
0.500 0.500 0.500 Os
```

Properties
DOS(E_F) ... 0.443 states/eV per atom
Offset from the most stable computed form ... 1.633 eV per atom
Formation energy (no corrections) ... 2.31 eV/atom
Symmetry ... No. 225
E ... -0.3711 Ry/atom


Below is a geometry-optimized HoRe4Si4 structure, with properties calculated at the PBE level.

POSCAR file:
```
HoRe4Si4
1.0
4.718 0.000 0.000
0.000 8.054 0.000
0.000 0.000 8.054
Si Ho Re
8 2 8
direct
0.412 0.307 0.159 Si
0.412 0.693 0.841 Si
0.588 0.841 0.307 Si
0.588 0.159 0.693 Si
0.912 0.659 0.193 Si
0.088 0.193 0.341 Si
0.912 0.341 0.807 Si
0.088 0.807 0.659 Si
0.000 0.000 0.000 Ho
0.500 0.500 0.500 Ho
0.906 0.629 0.879 Re
0.406 0.621 0.129 Re
0.594 0.871 0.621 Re
0.594 0.129 0.379 Re
0.094 0.121 0.629 Re
0.906 0.371 0.121 Re
0.094 0.879 0.371 Re
0.406 0.379 0.871 Re
```

Properties
DOS(E_F) ... 0.744 states/eV per atom
Formation energy (no corrections) ... -0.25 eV/atom
Symmetry ... No. 86
E ... -0.6393 Ry/atom


Below is a geometry-optimized Ac3La5Pm structure, with properties calculated at the PBE level.

POSCAR file:
```
Ac3La5Pm
1.0
-5.937 -7.096 -1.280
6.460 -5.971 3.139
-3.042 7.498 6.625
La Pm Ac
10 2 6
direct
0.836 0.948 0.284 La
0.336 0.836 0.284 La
0.052 0.552 0.716 La
0.500 0.500 0.000 La
0.448 0.336 0.284 La
0.164 0.052 0.716 La
0.552 0.664 0.716 La
0.000 0.000 0.000 La
0.948 0.448 0.284 La
0.664 0.164 0.716 La
0.750 0.250 0.500 Pm
0.250 0.750 0.500 Pm
0.128 0.372 0.000 Ac
0.372 0.872 0.000 Ac
0.750 0.750 0.500 Ac
0.872 0.628 0.000 Ac
0.250 0.250 0.500 Ac
0.628 0.128 0.000 Ac
```

Properties
DOS(E_F) ... 1.599 states/eV per atom
Symmetry ... No. 140
E ... -0.3218 Ry/atom


Below is a geometry-optimized TlCrGa2Te structure, with properties calculated at the PBE level.

POSCAR file:
```
TlCrGa2Te
1.0
5.212 0.000 0.000
0.000 6.056 0.000
0.000 0.000 5.212
Ga Te Cr Tl
2 1 1 1
direct
0.000 0.000 0.500 Ga
0.500 0.000 0.000 Ga
0.000 0.500 0.000 Te
0.500 0.500 0.500 Cr
0.000 0.000 0.000 Tl
```

Properties
DOS(E_F) ... 0.729 states/eV per atom
Formation energy (no corrections) ... 1.40 eV/atom
Symmetry ... No. 123
E ... -0.2087 Ry/atom


Below is a geometry-optimized SrSiPt2 structure, with properties calculated at the PBE level.

POSCAR file:
```
SrSiPt2
1.0
-4.099 1.450 3.107
0.680 -1.213 5.159
2.966 2.481 -3.688
Si Pt Sr
1 2 1
direct
0.500 0.500 0.000 Si
0.250 0.750 0.500 Pt
0.000 0.000 0.000 Pt
0.750 0.250 0.500 Sr
```

Properties
DOS(E_F) ... 0.402 states/eV per atom
Formation energy (no corrections) ... -0.21 eV/atom
Symmetry ... No. 119
E ... -0.3678 Ry/atom


Below is a geometry-optimized KW2 structure, with properties calculated at the PBE level.

POSCAR file:
```
KW2
1.0
3.122 0.000 0.000
0.000 10.990 0.000
0.000 0.000 9.256
W K
8 4
direct
0.250 0.584 0.824 W
0.750 0.416 0.176 W
0.750 0.916 0.324 W
0.750 0.921 0.595 W
0.250 0.079 0.405 W
0.250 0.579 0.095 W
0.750 0.421 0.905 W
0.250 0.084 0.676 W
0.750 0.355 0.547 K
0.750 0.855 0.953 K
0.250 0.645 0.453 K
0.250 0.145 0.047 K
```

Properties
DOS(E_F) ... 0.897 states/eV per atom
Offset from the most stable computed form ... 0.317 eV per atom
Symmetry ... No. 62
E ... -0.5655 Ry/atom


Repeat the fifth record exactly.
Below is a geometry-optimized OsIN2 structure, with properties calculated at the PBE level.

POSCAR file:
```
OsIN2
1.0
-1.049 -3.673 1.474
-3.939 -1.112 0.114
-1.382 -2.904 -2.534
N I Os
2 1 1
direct
0.250 0.250 0.250 N
0.750 0.750 0.750 N
0.000 0.000 0.000 I
0.500 0.500 0.500 Os
```

Properties
DOS(E_F) ... 0.443 states/eV per atom
Offset from the most stable computed form ... 1.633 eV per atom
Formation energy (no corrections) ... 2.31 eV/atom
Symmetry ... No. 225
E ... -0.3711 Ry/atom


- Among the records above, which one has the lowest E?
  HoRe4Si4